Below is a relaxed CsTl3Br8 crystal, with properties calculated at the PBE-GGA level.

The structure in CIF format:
```
data_CsTl3Br8
_space_group_name_H-M_alt 'P -3 m 1'
_space_group_IT_number 164
_space_group_name_Hall '-P 3 2"'
_cell_length_a 8.2437
_cell_length_b 8.2437
_cell_length_c 10.7474
_cell_angle_alpha 90.00
_cell_angle_beta 90.00
_cell_angle_gamma 120.00
loop_
_atom_site_label
_atom_site_type_symbol
_atom_site_fract_x
_atom_site_fract_y
_atom_site_fract_z
Cs1 Cs 0.0000 0.0000 0.0000
Tl1 Tl 0.0000 0.0000 0.5000
Tl2 Tl 0.3333 0.6667 0.7986
Br1 Br 0.1590 0.3181 0.7168
Br2 Br 0.3333 0.6667 0.0398
```

The value obtained for the uncorrected formation energy is -777 meV/atom.